Entry 1:
# PrNd4Tm10

A relaxed structure of PrNd4Tm10 (PBE, Alexandria via LeMat-Bulk).

Cell: 9.681 9.681 9.681 Å, 96.34 96.34 141.17°
Sites, in units of the cell vectors:
Pr: 0.000 0.000 0.000
Nd: 0.327 0.568 0.895
Nd: 0.432 0.327 0.759
Nd: 0.568 0.673 0.241
Nd: 0.673 0.432 0.105
Tm: 0.044 0.880 0.424
Tm: 0.120 0.543 0.163
Tm: 0.250 0.750 0.500
Tm: 0.380 0.956 0.837
Tm: 0.457 0.620 0.576
Tm: 0.543 0.380 0.424
Tm: 0.620 0.044 0.163
Tm: 0.750 0.250 0.500
Tm: 0.880 0.457 0.837
Tm: 0.956 0.120 0.576

- Space-group type: I4/m (87)
- Total energy: -60.111 eV per cell
- ΔH_f (0 K): 0.5636 eV/atom
- Total magnetization: 0.00 Bohr magnetons per cell

Entry 2:
# Pr12Nd5Tm2

A relaxed structure of Pr12Nd5Tm2 (PBE, Alexandria via LeMat-Bulk).

Cell: 10.425 10.425 10.257 Å, 113.61 113.61 42.63°
Sites, in units of the cell vectors:
Pr: 0.008 0.008 0.324
Pr: 0.091 0.590 0.149
Pr: 0.093 0.575 0.498
Pr: 0.410 0.909 0.851
Pr: 0.425 0.907 0.502
Pr: 0.491 0.491 0.784
Pr: 0.509 0.509 0.216
Pr: 0.575 0.093 0.498
Pr: 0.590 0.091 0.149
Pr: 0.907 0.425 0.502
Pr: 0.909 0.410 0.851
Pr: 0.992 0.992 0.676
Nd: 0.176 0.176 0.198
Nd: 0.325 0.325 0.830
Nd: 0.500 0.500 0.500
Nd: 0.675 0.675 0.170
Nd: 0.824 0.824 0.802
Tm: 0.202 0.798 0.000
Tm: 0.798 0.202 0.000

- Space-group type: C2/m (12)
- ΔE to the lowest computed polymorph: 43 meV/atom
- Total energy: -87.081 eV per cell
- ΔH_f (0 K): 0.1608 eV/atom
- Total magnetization: 0.00 Bohr magnetons per cell

Entry 3:
# Pr6Nd2Tm

A relaxed structure of Pr6Nd2Tm (PBE, Alexandria via LeMat-Bulk).

Cell: 10.480 10.480 6.185 Å, 95.90 95.90 69.79°
Sites, in units of the cell vectors:
Pr: 0.050 0.826 0.959
Pr: 0.160 0.382 0.124
Pr: 0.174 0.950 0.541
Pr: 0.287 0.506 0.712
Pr: 0.382 0.160 0.624
Pr: 0.494 0.713 0.788
Pr: 0.506 0.287 0.212
Pr: 0.618 0.840 0.376
Pr: 0.713 0.494 0.288
Pr: 0.826 0.050 0.459
Pr: 0.840 0.618 0.876
Pr: 0.950 0.174 0.041
Nd: 0.013 0.316 0.583
Nd: 0.316 0.013 0.083
Nd: 0.684 0.987 0.917
Nd: 0.987 0.684 0.417
Tm: 0.354 0.646 0.250
Tm: 0.646 0.354 0.750

- Space-group type: C2/c (15)
- ΔE to the lowest computed polymorph: 0 meV/atom
- Total energy: -83.987 eV per cell
- ΔH_f (0 K): 0.0767 eV/atom
- Total magnetization: 0.00 Bohr magnetons per cell

Entry 4:
# Pr2Nd7Tm2

A relaxed structure of Pr2Nd7Tm2 (PBE, Alexandria via LeMat-Bulk).

Cell: 8.948 8.948 11.364 Å, 97.33 97.33 119.71°
Sites, in units of the cell vectors:
Pr: 0.082 0.344 0.485
Pr: 0.344 0.082 0.985
Pr: 0.656 0.918 0.015
Pr: 0.918 0.656 0.515
Nd: 0.084 0.916 0.250
Nd: 0.092 0.237 0.089
Nd: 0.236 0.663 0.074
Nd: 0.237 0.092 0.589
Nd: 0.337 0.764 0.426
Nd: 0.389 0.440 0.863
Nd: 0.440 0.389 0.363
Nd: 0.560 0.611 0.637
Nd: 0.611 0.560 0.137
Nd: 0.663 0.236 0.574
Nd: 0.763 0.908 0.411
Nd: 0.764 0.337 0.926
Nd: 0.908 0.763 0.911
Nd: 0.916 0.084 0.750
Tm: 0.088 0.547 0.759
Tm: 0.453 0.912 0.741
Tm: 0.547 0.088 0.259
Tm: 0.912 0.453 0.241

- Space-group type: C2/c (15)
- ΔE to the lowest computed polymorph: 0 meV/atom
- Total energy: -101.127 eV per cell
- ΔH_f (0 K): 0.1194 eV/atom
- Total magnetization: 0.00 Bohr magnetons per cell

Entry 5:
# Pr7Nd3Tm2

A relaxed structure of Pr7Nd3Tm2 (PBE, Alexandria via LeMat-Bulk).

Cell: 6.371 5.701 12.329 Å, 90.00 91.58 90.00°
Sites, in units of the cell vectors:
Pr: 0.000 0.000 0.000
Pr: 0.093 0.500 0.170
Pr: 0.247 0.500 0.450
Pr: 0.439 0.000 0.191
Pr: 0.561 0.000 0.809
Pr: 0.753 0.500 0.550
Pr: 0.907 0.500 0.830
Nd: 0.074 0.000 0.659
Nd: 0.500 0.500 0.000
Nd: 0.926 0.000 0.341
Tm: 0.370 0.500 0.723
Tm: 0.630 0.500 0.277

- Space-group type: P2/m (10)
- ΔE to the lowest computed polymorph: 168 meV/atom
- Total energy: -53.599 eV per cell
- ΔH_f (0 K): 0.2587 eV/atom
- Total magnetization: 0.00 Bohr magnetons per cell

Entry 6:
# Pr4Nd3Tm4

A relaxed structure of Pr4Nd3Tm4 (PBE, Alexandria via LeMat-Bulk).

Cell: 10.844 6.702 6.702 Å, 50.89 90.00 90.00°
Sites, in units of the cell vectors:
Pr: 0.000 0.000 0.000
Pr: 0.213 0.792 0.792
Pr: 0.500 0.923 0.923
Pr: 0.787 0.792 0.792
Nd: 0.000 0.293 0.293
Nd: 0.287 0.454 0.454
Nd: 0.713 0.454 0.454
Tm: 0.000 0.597 0.597
Tm: 0.306 0.147 0.147
Tm: 0.500 0.649 0.649
Tm: 0.694 0.147 0.147

- Space-group type: Amm2 (38)
- ΔE to the lowest computed polymorph: 132 meV/atom
- Total energy: -49.631 eV per cell
- ΔH_f (0 K): 0.1524 eV/atom
- Total magnetization: 0.00 Bohr magnetons per cell

Entry 7:
# PrNd6Tm5

A relaxed structure of PrNd6Tm5 (PBE, Alexandria via LeMat-Bulk).

Cell: 9.528 9.528 9.528 Å, 148.81 116.02 72.89°
Sites, in units of the cell vectors:
Pr: 0.000 0.000 0.000
Nd: 0.085 0.833 0.252
Nd: 0.253 0.500 0.753
Nd: 0.419 0.167 0.252
Nd: 0.581 0.833 0.748
Nd: 0.747 0.500 0.247
Nd: 0.915 0.167 0.748
Tm: 0.168 0.668 0.500
Tm: 0.333 0.333 0.000
Tm: 0.500 0.000 0.500
Tm: 0.667 0.667 0.000
Tm: 0.832 0.332 0.500

- Space-group type: Immm (71)
- Total energy: -55.515 eV per cell
- ΔH_f (0 K): 0.0191 eV/atom
- Total magnetization: 0.00 Bohr magnetons per cell

Entry 8:
# Pr15NdTm4

A relaxed structure of Pr15NdTm4 (PBE, Alexandria via LeMat-Bulk).

Cell: 5.191 5.191 25.861 Å, 90.00 90.00 90.00°
Sites, in units of the cell vectors:
Pr: 0.000 0.000 0.000
Pr: 0.000 0.000 0.202
Pr: 0.000 0.000 0.401
Pr: 0.000 0.000 0.599
Pr: 0.000 0.000 0.798
Pr: 0.000 0.500 0.102
Pr: 0.000 0.500 0.301
Pr: 0.000 0.500 0.500
Pr: 0.000 0.500 0.699
Pr: 0.000 0.500 0.898
Pr: 0.500 0.000 0.102
Pr: 0.500 0.000 0.301
Pr: 0.500 0.000 0.500
Pr: 0.500 0.000 0.699
Pr: 0.500 0.000 0.898
Nd: 0.500 0.500 0.000
Tm: 0.500 0.500 0.202
Tm: 0.500 0.500 0.401
Tm: 0.500 0.500 0.599
Tm: 0.500 0.500 0.798

- Space-group type: P4/mmm (123)
- Total energy: -94.144 eV per cell
- ΔH_f (0 K): 0.0101 eV/atom
- Total magnetization: 0.00 Bohr magnetons per cell

Entry 9:
# PrNd5Tm6

A relaxed structure of PrNd5Tm6 (PBE, Alexandria via LeMat-Bulk).

Cell: 9.491 9.491 9.491 Å, 148.72 116.59 72.41°
Sites, in units of the cell vectors:
Pr: 0.000 0.000 0.000
Nd: 0.167 0.667 0.500
Nd: 0.333 0.333 0.000
Nd: 0.500 0.000 0.500
Nd: 0.667 0.667 0.000
Nd: 0.833 0.333 0.500
Tm: 0.084 0.833 0.250
Tm: 0.251 0.500 0.751
Tm: 0.417 0.167 0.250
Tm: 0.583 0.833 0.750
Tm: 0.749 0.500 0.249
Tm: 0.916 0.167 0.750

- Space-group type: Immm (71)
- Total energy: -55.215 eV per cell
- ΔH_f (0 K): 0.0194 eV/atom
- Total magnetization: 0.00 Bohr magnetons per cell

Entry 10:
# Pr12Nd7Tm

A relaxed structure of Pr12Nd7Tm (PBE, Alexandria via LeMat-Bulk).

Cell: 8.972 8.972 8.972 Å, 88.15 88.15 88.15°
Sites, in units of the cell vectors:
Pr: 0.010 0.888 0.361
Pr: 0.112 0.639 0.990
Pr: 0.225 0.357 0.754
Pr: 0.246 0.775 0.643
Pr: 0.357 0.754 0.225
Pr: 0.361 0.010 0.888
Pr: 0.639 0.990 0.112
Pr: 0.643 0.246 0.775
Pr: 0.754 0.225 0.357
Pr: 0.775 0.643 0.246
Pr: 0.888 0.361 0.010
Pr: 0.990 0.112 0.639
Nd: 0.000 0.000 0.000
Nd: 0.110 0.425 0.354
Nd: 0.354 0.110 0.425
Nd: 0.425 0.354 0.110
Nd: 0.575 0.646 0.890
Nd: 0.646 0.890 0.575
Nd: 0.890 0.575 0.646
Tm: 0.500 0.500 0.500

- Space-group type: R-3 (148)
- ΔE to the lowest computed polymorph: 4 meV/atom
- Total energy: -90.997 eV per cell
- ΔH_f (0 K): 0.2102 eV/atom
- Total magnetization: 0.00 Bohr magnetons per cell

Entry 11:
# Pr7Nd4Tm

A relaxed structure of Pr7Nd4Tm (PBE, Alexandria via LeMat-Bulk).

Cell: 6.417 7.419 9.202 Å, 89.96 76.48 89.99°
Sites, in units of the cell vectors:
Pr: 0.000 0.000 0.000
Pr: 0.221 0.500 0.332
Pr: 0.277 0.251 0.671
Pr: 0.500 0.252 0.000
Pr: 0.500 0.748 0.000
Pr: 0.723 0.749 0.329
Pr: 0.779 0.500 0.668
Nd: 0.225 0.000 0.333
Nd: 0.276 0.749 0.671
Nd: 0.724 0.251 0.329
Nd: 0.775 0.000 0.667
Tm: 0.000 0.500 0.000

- Space-group type: P-1 (2)
- ΔE to the lowest computed polymorph: 0 meV/atom
- Total energy: -56.832 eV per cell
- ΔH_f (0 K): 0.0139 eV/atom
- Total magnetization: 0.00 Bohr magnetons per cell

Entry 12:
# Pr2Nd6Tm3

A relaxed structure of Pr2Nd6Tm3 (PBE, Alexandria via LeMat-Bulk).

Cell: 6.294 8.102 8.145 Å, 107.50 97.35 104.81°
Sites, in units of the cell vectors:
Pr: 0.230 0.410 0.049
Pr: 0.770 0.590 0.951
Nd: 0.046 0.683 0.411
Nd: 0.137 0.046 0.233
Nd: 0.320 0.774 0.864
Nd: 0.680 0.226 0.136
Nd: 0.863 0.954 0.767
Nd: 0.954 0.317 0.589
Tm: 0.410 0.136 0.679
Tm: 0.500 0.500 0.500
Tm: 0.590 0.864 0.321

- Space-group type: P-1 (2)
- ΔE to the lowest computed polymorph: 0 meV/atom
- Total energy: -51.382 eV per cell
- ΔH_f (0 K): 0.0181 eV/atom
- Total magnetization: 0.00 Bohr magnetons per cell